# 1
Ho2TcRh: optimized geometry, GGA-PBE. Values from VASP.

Results
total DFT energy (no corrections): -7.088 eV per atom

The structure in Quantum ESPRESSO input format:
```
&SYSTEM
  ibrav = 0, nat = 4, ntyp = 3
/
ATOMIC_SPECIES
Rh 102.91 Rh.upf
Ho 164.93 Ho.upf
Tc 98.00 Tc.upf
CELL_PARAMETERS angstrom
-0.2981 2.5535 -2.2382
-3.1203 0.6801 1.1915
2.6895 4.3241 4.5750
ATOMIC_POSITIONS angstrom
Rh -0.3645 3.7788 1.7642
Ho 2.0201 3.2479 3.4364
Ho 0.6694 1.0762 1.1386
Tc -1.7092 1.6168 -0.5233
```

***

# 2
HoThTcRh: optimized geometry, GGA-PBE. Values from VASP.

Results
total DFT energy (no corrections): -7.870 eV per atom

The structure in Quantum ESPRESSO input format:
```
&SYSTEM
  ibrav = 0, nat = 4, ntyp = 4
/
ATOMIC_SPECIES
Rh 102.91 Rh.upf
Ho 164.93 Ho.upf
Th 232.04 Th.upf
Tc 98.00 Tc.upf
CELL_PARAMETERS angstrom
-4.0244 -1.5365 2.4015
-3.3389 -2.7931 -2.3181
-0.4913 -4.7594 1.1959
ATOMIC_POSITIONS angstrom
Rh 0.0000 0.0000 0.0000
Ho -5.8910 -6.8167 0.9594
Th -1.9637 -2.2722 0.3198
Tc -3.9273 -4.5445 0.6396
```

***

# 3
HoTiTcRh: optimized geometry, GGA-PBE. Values from VASP.

Results
total DFT energy (no corrections): -8.007 eV per atom

The structure in Quantum ESPRESSO input format:
```
&SYSTEM
  ibrav = 0, nat = 4, ntyp = 4
/
ATOMIC_SPECIES
Ti 47.87 Ti.upf
Rh 102.91 Rh.upf
Ho 164.93 Ho.upf
Tc 98.00 Tc.upf
CELL_PARAMETERS angstrom
4.5936 0.0000 0.0000
2.2968 3.9782 0.0000
2.2968 1.3261 3.7507
ATOMIC_POSITIONS angstrom
Ti 2.2968 1.3261 0.9377
Rh 4.5936 2.6521 1.8753
Ho 6.8905 3.9782 2.8130
Tc 0.0000 0.0000 0.0000
```

***

# 4
Ho5Te2Rh: optimized geometry, GGA-PBE. Values from VASP.

Results
ΔE to the lowest computed polymorph: 0.0 meV per atom
uncorrected formation energy: -0.868 eV/atom

The structure in Quantum ESPRESSO input format:
```
&SYSTEM
  ibrav = 0, nat = 16, ntyp = 3
/
ATOMIC_SPECIES
Ho 164.93 Ho.upf
Te 127.60 Te.upf
Rh 102.91 Rh.upf
CELL_PARAMETERS angstrom
-1.0737 3.6145 -1.5277
2.6143 -2.3378 -7.3684
-11.9581 -4.7135 -2.7473
ATOMIC_POSITIONS angstrom
Ho -5.9791 -2.3567 -1.3737
Ho 1.3072 -1.1689 -3.6842
Ho -0.0142 -2.8177 -6.6566
Ho -9.3296 -4.2335 -3.4592
Ho -6.4372 -4.7775 -6.7792
Ho -2.9066 -2.2737 -3.3366
Ho -3.7444 -1.7115 -6.8346
Ho -6.6731 -1.7253 -4.8089
Ho -9.3016 -4.4454 -9.3973
Ho -1.1159 1.0087 -2.2462
Te -1.2752 -0.2949 -5.2184
Te -9.1423 -3.1419 -6.4251
Te -6.1442 -3.6443 -9.7208
Te -4.2733 0.2075 -1.9227
Rh -4.6719 -3.5256 -5.0579
Rh 0.0000 0.0000 0.0000
```

***

# 5
HoTe2Rh: optimized geometry, GGA-PBE. Values from VASP.

Results
uncorrected formation energy: -0.301 eV/atom

The structure in Quantum ESPRESSO input format:
```
&SYSTEM
  ibrav = 0, nat = 4, ntyp = 3
/
ATOMIC_SPECIES
Te 127.60 Te.upf
Rh 102.91 Rh.upf
Ho 164.93 Ho.upf
CELL_PARAMETERS angstrom
3.9353 0.0000 0.0000
1.9676 3.4081 0.0000
1.9676 1.1360 8.8690
ATOMIC_POSITIONS angstrom
Te 1.9677 1.1360 5.8385
Te 5.9029 3.4081 3.0305
Rh 3.9353 2.2720 4.4345
Ho 0.0000 0.0000 0.0000
```

***

# 6
Ho5Te5Rh: optimized geometry, GGA-PBE. Values from VASP.

Results
uncorrected formation energy: -1.210 eV/atom

The structure in Quantum ESPRESSO input format:
```
&SYSTEM
  ibrav = 0, nat = 11, ntyp = 3
/
ATOMIC_SPECIES
Ho 164.93 Ho.upf
Te 127.60 Te.upf
Rh 102.91 Rh.upf
CELL_PARAMETERS angstrom
6.1183 0.0000 0.0000
-3.0592 6.8542 -0.0873
0.0000 -2.6721 8.0889
ATOMIC_POSITIONS angstrom
Ho 3.0592 4.4286 1.1525
Ho 3.0592 2.9545 5.5371
Ho 3.0592 0.0000 0.0000
Ho 0.0000 1.2276 2.4645
Ho 0.0000 -0.2465 6.8491
Te 3.0592 1.6167 2.6618
Te 3.0592 0.0738 6.6436
Te 0.0000 -1.3360 4.0445
Te 0.0000 4.1083 1.3580
Te 0.0000 2.5654 5.3398
Rh 0.0000 0.0000 0.0000
```

***

# 7
Ho4Te2Rh: optimized geometry, GGA-PBE. Values from VASP.

Results
uncorrected formation energy: -0.986 eV/atom

The structure in Quantum ESPRESSO input format:
```
&SYSTEM
  ibrav = 0, nat = 14, ntyp = 3
/
ATOMIC_SPECIES
Ho 164.93 Ho.upf
Te 127.60 Te.upf
Rh 102.91 Rh.upf
CELL_PARAMETERS angstrom
4.2127 0.0000 0.0000
0.0000 7.8655 0.0000
0.0000 0.0000 12.3333
ATOMIC_POSITIONS angstrom
Ho 0.0000 5.0250 9.8816
Ho 0.0000 2.8405 2.4517
Ho 0.0000 1.0923 8.6184
Ho 0.0000 6.7732 3.7149
Ho 2.1064 6.2645 6.8432
Ho 2.1064 1.6009 5.4900
Ho 2.1064 5.5337 0.6766
Ho 2.1064 2.3318 11.6567
Te 2.1064 7.3187 10.2806
Te 2.1064 0.5467 2.0527
Te 2.1064 3.3860 8.2194
Te 2.1064 4.4795 4.1139
Rh 0.0000 0.0000 6.1666
Rh 0.0000 3.9327 0.0000
```

***

# 8
HoTeRh2: optimized geometry, GGA-PBE. Values from VASP.

Results
uncorrected formation energy: -0.630 eV/atom

The structure in Quantum ESPRESSO input format:
```
&SYSTEM
  ibrav = 0, nat = 4, ntyp = 3
/
ATOMIC_SPECIES
Te 127.60 Te.upf
Rh 102.91 Rh.upf
Ho 164.93 Ho.upf
CELL_PARAMETERS angstrom
-3.4194 -1.4594 -0.8827
0.9530 -3.6448 2.3345
-1.7336 1.8689 3.6256
ATOMIC_POSITIONS angstrom
Te -1.7097 -0.7297 -0.4413
Rh -0.8668 0.9345 1.8128
Rh 0.4765 -1.8224 1.1673
Ho -2.1000 -1.6177 2.5387
```

***

# 9
Ho5Te4Rh: optimized geometry, GGA-PBE. Values from VASP.

Results
ΔE to the lowest computed polymorph: 11.3 meV per atom
uncorrected formation energy: -1.167 eV/atom

The structure in Quantum ESPRESSO input format:
```
&SYSTEM
  ibrav = 0, nat = 10, ntyp = 3
/
ATOMIC_SPECIES
Ho 164.93 Ho.upf
Te 127.60 Te.upf
Rh 102.91 Rh.upf
CELL_PARAMETERS angstrom
-2.5767 -1.8038 -2.8265
2.5648 -3.3564 -0.1961
-7.9356 -4.1628 13.0541
ATOMIC_POSITIONS angstrom
Ho -1.3223 -1.1227 1.9219
Ho -0.0059 -2.5801 -1.5113
Ho -6.6252 -8.2003 8.1095
Ho -4.5930 -3.8998 6.6758
Ho -3.3545 -5.4233 3.3557
Te -6.2626 -5.3174 9.1026
Te -4.9276 -6.7590 5.6422
Te -3.0199 -2.5641 4.3893
Te -1.6849 -4.0056 0.9289
Rh 0.0000 0.0000 0.0000
```

***

# 10
Ho4Te3Rh: optimized geometry, GGA-PBE. Values from VASP.

Results
uncorrected formation energy: -1.192 eV/atom

The structure in Quantum ESPRESSO input format:
```
&SYSTEM
  ibrav = 0, nat = 16, ntyp = 3
/
ATOMIC_SPECIES
Te 127.60 Te.upf
Rh 102.91 Rh.upf
Ho 164.93 Ho.upf
CELL_PARAMETERS angstrom
7.2648 0.0346 0.0000
-2.5200 7.2244 0.0000
0.0000 0.0000 8.6626
ATOMIC_POSITIONS angstrom
Te 5.4486 0.0259 3.3416
Te 1.8162 0.0086 5.3210
Te 4.1886 3.6382 5.2996
Te 4.1886 3.6382 1.0574
Te 0.5562 3.6209 3.3630
Te 0.5562 3.6209 7.6053
Rh 5.4486 0.0259 7.6965
Rh 1.8162 0.0086 0.9662
Ho 6.4690 1.6579 5.7569
Ho 3.1465 1.5596 7.6921
Ho 2.8366 1.6406 2.9057
Ho -0.4859 1.5423 0.9705
Ho 5.2306 5.7167 7.6921
Ho 1.9081 5.6184 5.7569
Ho 1.5982 5.6994 0.9705
Ho -1.7243 5.6011 2.9057
```

***

# 11
Ho5Te2Rh: optimized geometry, GGA-PBE. Values from VASP.

Results
ΔE to the lowest computed polymorph: 331.3 meV per atom
uncorrected formation energy: -0.537 eV/atom

The structure in Quantum ESPRESSO input format:
```
&SYSTEM
  ibrav = 0, nat = 16, ntyp = 3
/
ATOMIC_SPECIES
Ho 164.93 Ho.upf
Te 127.60 Te.upf
Rh 102.91 Rh.upf
CELL_PARAMETERS angstrom
-4.2914 -0.6328 3.4129
4.6588 -6.4086 0.2066
7.0042 5.4080 9.8098
ATOMIC_POSITIONS angstrom
Ho 6.1166 -1.0916 11.9517
Ho 4.2482 -2.5342 9.3349
Ho 4.7271 -1.7180 5.6254
Ho 1.8884 -3.9097 1.6496
Ho 0.6648 -1.7994 4.9654
Ho 6.7068 0.1661 8.4639
Ho 2.6444 0.0846 7.8039
Ho 5.4831 2.2764 11.7796
Ho 1.2550 -0.5418 1.4776
Ho 3.1234 0.9009 4.0944
Te 2.5020 -3.2944 6.9983
Te 0.5175 -4.8267 4.2189
Te 4.8695 1.6611 6.4309
Te 6.8541 3.1934 9.2104
Rh 4.5130 -0.0215 10.1337
Rh 2.8586 -1.6119 3.2956
```

***

| no. | density (g/cm³) |
| --- | --- |
| 1 | 11.08 |
| 2 | 11.70 |
| 3 | 10.02 |
| 4 | 9.00 |
| 5 | 7.30 |
| 6 | 7.70 |
| 7 | 8.27 |
| 8 | 11.02 |
| 9 | 8.59 |
| 10 | 8.35 |
| 11 | 7.25 |